Entry 1:
Computed, not measured: a relaxed structure of MoRuSeBr2 at the PBE level of DFT.

- total magnetization (μB per atom) = 1.01
- energy relative to the elements, uncorrected (eV per atom) = 0.941
- volume (Å³/cell) = 133.7
- crystal system = tetragonal

abc: 5.2461 5.2461 4.8587
angles: 90.00 90.00 90.00
Closest atoms and distances in Å follow each position.
Fractional coordinates of all 5 atoms:
Mo (0.0000, 0.0000, 0.0000)  2 Se 2.43, 4 Br 2.62
Ru (0.5000, 0.5000, 0.5000)  8 Br 3.58, 4 Se 3.71
Se (0.0000, 0.0000, 0.5000)  2 Mo 2.43
Br (0.0000, 0.5000, 0.0000)  2 Mo 2.62
Br (0.5000, 0.0000, 0.0000)  2 Mo 2.62

=====

Entry 2:
Computed, not measured: a relaxed structure of TbLuZn at the PBE level of DFT.

- total magnetization (μB per atom) = 0.00
- volume (Å³/cell) = 151.3
- crystal system = tetragonal
- ΔE_f (kJ/mol of atoms) = -20

abc: 3.5367 3.5367 12.0954
angles: 90.00 90.00 90.00
Closest atoms and distances in Å follow each position.
Fractional coordinates of all 6 atoms:
Tb (0.0000, 0.0000, 0.0000)  4 Zn 3.10
Tb (0.5000, 0.5000, 0.5000)  4 Zn 3.10
Lu (0.0000, 0.0000, 0.2886)  4 Zn 3.00
Lu (0.5000, 0.5000, 0.7886)  4 Zn 3.00
Zn (0.0000, 0.0000, 0.6518)  4 Lu 3.00, 4 Tb 3.10
Zn (0.5000, 0.5000, 0.1518)  4 Lu 3.00, 4 Tb 3.10

=====

Entry 3:
Computed, not measured: a relaxed structure of Ag2SnBI at the PBE level of DFT.

- total magnetization (μB per atom) = 0.00
- energy relative to the elements, uncorrected (eV per atom) = 0.855
- volume (Å³/cell) = 130.0
- crystal system = tetragonal

abc: 5.6086 5.6086 4.1335
angles: 90.00 90.00 90.00
Closest atoms and distances in Å follow each position.
Fractional coordinates of all 5 atoms:
Ag (0.0000, 0.5000, 0.0000)  2 Sn 2.80
Ag (0.5000, 0.0000, 0.0000)  2 Sn 2.80
Sn (0.0000, 0.0000, 0.0000)  2 B 2.07
B (0.0000, 0.0000, 0.5000)  2 Sn 2.07
I (0.5000, 0.5000, 0.5000)  8 Ag 3.48

=====

Entry 4:
Computed, not measured: a relaxed structure of CsAgHgI2 at the PBE level of DFT.

- total magnetization (μB per atom) = 0.00
- energy relative to the elements, uncorrected (eV per atom) = -0.675
- volume (Å³/cell) = 456.1
- crystal system = monoclinic

abc: 9.6378 9.6378 11.3464
angles: 118.30 118.30 29.78
Closest atoms and distances in Å follow each position.
Fractional coordinates of all 10 atoms:
Cs (0.2189, 0.2189, 0.2422)  5 I 3.83-3.91, 2 Hg 3.96
Cs (0.7811, 0.7811, 0.7578)  5 I 3.83-3.91, 2 Hg 3.96
Ag (0.0592, 0.0592, 0.4470)  4 I 2.89-2.93, 1 Ag 2.99
Ag (0.9408, 0.9408, 0.5530)  4 I 2.89-2.93, 1 Ag 2.99
Hg (0.4247, 0.4247, 0.0521)  1 Hg 3.54, 3 I 3.70-3.81, 2 Cs 3.96
Hg (0.5753, 0.5753, 0.9479)  1 Hg 3.54, 3 I 3.70-3.81, 2 Cs 3.96
I (0.1183, 0.1183, 0.7353)  2 Ag 2.89-2.91
I (0.3832, 0.3832, 0.6170)  2 Ag 2.93
I (0.6168, 0.6168, 0.3830)  2 Ag 2.93
I (0.8817, 0.8817, 0.2647)  2 Ag 2.89-2.91

=====

Entry 5:
Computed, not measured: a relaxed structure of Mg2In2Ga at the PBE level of DFT.

- total magnetization (μB per atom) = 0.00
- volume (Å³/cell) = 242.3
- crystal system = tetragonal
- ΔE_f (kJ/mol of atoms) = 6

abc: 8.1979 8.1979 3.6055
angles: 90.00 90.00 90.00
Closest atoms and distances in Å follow each position.
Fractional coordinates of all 10 atoms:
Mg (0.1366, 0.3634, 0.0000)  6 In 2.93-3.06, 1 Mg 3.17, 2 Ga 3.18
Mg (0.3634, 0.8634, 0.0000)  6 In 2.93-3.06, 1 Mg 3.17, 2 Ga 3.18
Mg (0.6366, 0.1366, 0.0000)  6 In 2.93-3.06, 1 Mg 3.17, 2 Ga 3.18
Mg (0.8634, 0.6366, 0.0000)  6 In 2.93-3.06, 1 Mg 3.17, 2 Ga 3.18
In (0.1644, 0.6644, 0.5000)  6 Mg 2.93-3.06
In (0.3356, 0.1644, 0.5000)  6 Mg 2.93-3.06
In (0.6644, 0.8356, 0.5000)  6 Mg 2.93-3.06
In (0.8356, 0.3356, 0.5000)  6 Mg 2.93-3.06
Ga (0.0000, 0.0000, 0.0000)  4 Mg 3.18, 8 In 3.55
Ga (0.5000, 0.5000, 0.0000)  4 Mg 3.18, 8 In 3.55

=====

Entry 6:
Computed, not measured: a relaxed structure of Cr2Fe21B6 at the PBE level of DFT.

- total magnetization (μB per atom) = 1.26
- volume (Å³/cell) = 294.3
- crystal system = cubic
- ΔE_f (kJ/mol of atoms) = -19

abc: 7.4659 7.4659 7.4659
angles: 60.00 60.00 60.00
Closest atoms and distances in Å follow each position.
Fractional coordinates of all 29 atoms:
Cr (0.2500, 0.2500, 0.2500)  4 Fe 2.40
Cr (0.7500, 0.7500, 0.7500)  4 Fe 2.40
Fe (0.0000, 0.0000, 0.0000)  12 Fe 2.55
Fe (0.0000, 0.0000, 0.3416)  2 B 2.11, 1 Fe 2.36
Fe (0.0000, 0.0000, 0.6584)  2 B 2.11, 1 Fe 2.36
Fe (0.0000, 0.3416, 0.0000)  2 B 2.11, 1 Fe 2.36
Fe (0.0000, 0.3416, 0.6584)  2 B 2.11, 1 Fe 2.36
Fe (0.0000, 0.6584, 0.0000)  2 B 2.11, 1 Fe 2.36
Fe (0.0000, 0.6584, 0.3416)  2 B 2.11, 1 Fe 2.36
Fe (0.1437, 0.6188, 0.6188)  3 B 2.10
Fe (0.3416, 0.0000, 0.0000)  2 B 2.11, 1 Fe 2.36
Fe (0.3416, 0.0000, 0.6584)  2 B 2.11, 1 Fe 2.36
Fe (0.3416, 0.6584, 0.0000)  2 B 2.11, 1 Fe 2.36
Fe (0.3812, 0.3812, 0.3812)  3 B 2.10
Fe (0.3812, 0.3812, 0.8563)  3 B 2.10
Fe (0.3812, 0.8563, 0.3812)  3 B 2.10
Fe (0.6188, 0.1437, 0.6188)  3 B 2.10
Fe (0.6188, 0.6188, 0.1437)  3 B 2.10
Fe (0.6188, 0.6188, 0.6188)  3 B 2.10
Fe (0.6584, 0.0000, 0.0000)  2 B 2.11, 1 Fe 2.36
Fe (0.6584, 0.0000, 0.3416)  2 B 2.11, 1 Fe 2.36
Fe (0.6584, 0.3416, 0.0000)  2 B 2.11, 1 Fe 2.36
Fe (0.8563, 0.3812, 0.3812)  3 B 2.10
B (0.2753, 0.2753, 0.7247)  8 Fe 2.10-2.11
B (0.2753, 0.7247, 0.2753)  8 Fe 2.10-2.11
B (0.2753, 0.7247, 0.7247)  8 Fe 2.10-2.11
B (0.7247, 0.2753, 0.2753)  8 Fe 2.10-2.11
B (0.7247, 0.2753, 0.7247)  8 Fe 2.10-2.11
B (0.7247, 0.7247, 0.2753)  8 Fe 2.10-2.11

=====

Entry 7:
Computed, not measured: a relaxed structure of PrYSnHg at the PBE level of DFT.

- total magnetization (μB per atom) = 0.00
- volume (Å³/cell) = 234.1
- crystal system = orthorhombic
- ΔE_f (kJ/mol of atoms) = -58

abc: 4.4788 4.4643 11.7070
angles: 90.00 90.00 90.00
Closest atoms and distances in Å follow each position.
Fractional coordinates of all 8 atoms:
Pr (0.0000, 0.0000, 0.0000)  3 Sn 3.22-3.45, 4 Hg 3.22
Pr (0.0000, 0.5000, 0.5000)  3 Sn 3.22-3.45, 4 Hg 3.22
Y (0.5000, 0.0000, 0.2775)  3 Hg 3.21-3.46, 4 Sn 3.22
Y (0.5000, 0.5000, 0.7775)  3 Hg 3.21-3.46, 4 Sn 3.22
Sn (0.0000, 0.0000, 0.7252)  2 Hg 3.02, 1 Pr 3.22, 4 Y 3.22
Sn (0.0000, 0.5000, 0.2252)  2 Hg 3.02, 1 Pr 3.22, 4 Y 3.22
Hg (0.5000, 0.0000, 0.5521)  2 Sn 3.02, 1 Y 3.21, 4 Pr 3.22
Hg (0.5000, 0.5000, 0.0521)  2 Sn 3.02, 1 Y 3.21, 4 Pr 3.22

=====

Entry 8:
Computed, not measured: a relaxed structure of LaTbPrHg at the PBE level of DFT.

- total magnetization (μB per atom) = 0.01
- volume (Å³/cell) = 495.0
- crystal system = cubic
- ΔE_f (kJ/mol of atoms) = -8

abc: 7.9103 7.9103 7.9103
angles: 90.00 90.00 90.00
Closest atoms and distances in Å follow each position.
Fractional coordinates of all 16 atoms:
La (0.0000, 0.0000, 0.0000)  4 Hg 3.43, 4 Tb 3.43
La (0.0000, 0.5000, 0.5000)  4 Hg 3.43, 4 Tb 3.43
La (0.5000, 0.0000, 0.5000)  4 Hg 3.43, 4 Tb 3.43
La (0.5000, 0.5000, 0.0000)  4 Hg 3.43, 4 Tb 3.43
Tb (0.2500, 0.2500, 0.7500)  4 La 3.43, 4 Pr 3.43
Tb (0.2500, 0.7500, 0.2500)  4 La 3.43, 4 Pr 3.43
Tb (0.7500, 0.2500, 0.2500)  4 La 3.43, 4 Pr 3.43
Tb (0.7500, 0.7500, 0.7500)  4 La 3.43, 4 Pr 3.43
Pr (0.0000, 0.0000, 0.5000)  4 Tb 3.43, 4 Hg 3.43
Pr (0.0000, 0.5000, 0.0000)  4 Tb 3.43, 4 Hg 3.43
Pr (0.5000, 0.0000, 0.0000)  4 Tb 3.43, 4 Hg 3.43
Pr (0.5000, 0.5000, 0.5000)  4 Tb 3.43, 4 Hg 3.43
Hg (0.2500, 0.2500, 0.2500)  4 La 3.43, 4 Pr 3.43
Hg (0.2500, 0.7500, 0.7500)  4 La 3.43, 4 Pr 3.43
Hg (0.7500, 0.2500, 0.7500)  4 La 3.43, 4 Pr 3.43
Hg (0.7500, 0.7500, 0.2500)  4 La 3.43, 4 Pr 3.43

=====

Entry 9:
Computed, not measured: a relaxed structure of Tm5Ni2Ru at the PBE level of DFT.

- total magnetization (μB per atom) = 0.00
- volume (Å³/cell) = 347.8
- crystal system = tetragonal
- ΔE_f (kJ/mol of atoms) = -40

abc: 8.6813 8.6813 8.6813
angles: 132.60 132.60 69.28
Closest atoms and distances in Å follow each position.
Fractional coordinates of all 16 atoms:
Tm (0.0000, 0.0000, 0.0000)  4 Ni 2.78
Tm (0.0288, 0.5288, 0.8503)  3 Ni 2.91-2.96, 2 Ru 2.97
Tm (0.1785, 0.0288, 0.5000)  3 Ni 2.91-2.96, 2 Ru 2.97
Tm (0.3215, 0.8215, 0.8503)  3 Ni 2.91-2.96, 2 Ru 2.97
Tm (0.4712, 0.3215, 0.5000)  3 Ni 2.91-2.96, 2 Ru 2.97
Tm (0.5000, 0.5000, 0.0000)  4 Ni 2.78
Tm (0.5288, 0.6785, 0.5000)  3 Ni 2.91-2.96, 2 Ru 2.97
Tm (0.6785, 0.1785, 0.1497)  3 Ni 2.91-2.96, 2 Ru 2.97
Tm (0.8215, 0.9712, 0.5000)  3 Ni 2.91-2.96, 2 Ru 2.97
Tm (0.9712, 0.4712, 0.1497)  3 Ni 2.91-2.96, 2 Ru 2.97
Ni (0.1195, 0.3805, 0.5000)  1 Ni 2.36
Ni (0.3805, 0.8805, 0.2610)  1 Ni 2.36
Ni (0.6195, 0.1195, 0.7390)  1 Ni 2.36
Ni (0.8805, 0.6195, 0.5000)  1 Ni 2.36
Ru (0.2500, 0.2500, 0.0000)  8 Tm 2.97
Ru (0.7500, 0.7500, 0.0000)  8 Tm 2.97

=====

Entry 10:
Computed, not measured: a relaxed structure of CsRu3Au at the PBE level of DFT.

- total magnetization (μB per atom) = 0.76
- volume (Å³/cell) = 116.8
- crystal system = cubic
- ΔE_f (kJ/mol of atoms) = 272

abc: 4.8875 4.8875 4.8875
angles: 90.00 90.00 90.00
Closest atoms and distances in Å follow each position.
Fractional coordinates of all 5 atoms:
Cs (0.0000, 0.0000, 0.0000)  6 Ru 2.44
Ru (0.0000, 0.0000, 0.5000)  2 Cs 2.44
Ru (0.0000, 0.5000, 0.0000)  2 Cs 2.44
Ru (0.5000, 0.0000, 0.0000)  2 Cs 2.44
Au (0.5000, 0.5000, 0.5000)  12 Ru 3.46

=====

Entry 11:
Computed, not measured: a relaxed structure of TcNi2P at the PBE level of DFT.

- total magnetization (μB per atom) = 0.31
- volume (Å³/cell) = 207.9
- crystal system = tetragonal
- ΔE_f (kJ/mol of atoms) = 18

abc: 3.4799 3.4799 17.1680
angles: 90.00 90.00 90.00
Closest atoms and distances in Å follow each position.
Fractional coordinates of all 16 atoms:
Tc (0.0000, 0.0000, 0.0000)  4 P 2.46, 4 Ni 2.49
Tc (0.0000, 0.5000, 0.2500)  4 P 2.46, 4 Ni 2.49
Tc (0.5000, 0.0000, 0.7500)  4 P 2.46, 4 Ni 2.49
Tc (0.5000, 0.5000, 0.5000)  4 P 2.46, 4 Ni 2.49
Ni (0.2356, 0.2500, 0.6250)  4 Ni 2.39-2.53, 2 P 2.46, 2 Tc 2.49
Ni (0.2500, 0.7356, 0.8750)  4 Ni 2.39-2.53, 2 P 2.46, 2 Tc 2.49
Ni (0.2500, 0.7644, 0.3750)  4 Ni 2.39-2.53, 2 P 2.46, 2 Tc 2.49
Ni (0.2644, 0.2500, 0.1250)  4 Ni 2.39-2.53, 2 P 2.46, 2 Tc 2.49
Ni (0.7356, 0.7500, 0.1250)  4 Ni 2.39-2.53, 2 P 2.46, 2 Tc 2.49
Ni (0.7500, 0.2356, 0.3750)  4 Ni 2.39-2.53, 2 P 2.46, 2 Tc 2.49
Ni (0.7500, 0.2644, 0.8750)  4 Ni 2.39-2.53, 2 P 2.46, 2 Tc 2.49
Ni (0.7644, 0.7500, 0.6250)  4 Ni 2.39-2.53, 2 P 2.46, 2 Tc 2.49
P (0.0000, 0.0000, 0.5000)  4 Ni 2.46, 4 Tc 2.46
P (0.0000, 0.5000, 0.7500)  4 Ni 2.46, 4 Tc 2.46
P (0.5000, 0.0000, 0.2500)  4 Ni 2.46, 4 Tc 2.46
P (0.5000, 0.5000, 0.0000)  4 Ni 2.46, 4 Tc 2.46